GeF GGA-PBE relaxed; N(E_F) = 0.12 states/eV/cell; calculated volume = 67.26 Å³ per cell; calculated total energy = -4.579 eV/atom; ΔE_f (raw) = -1.335 eV per atom; excess energy over the best structure of this formula in the dataset = 10.42 kJ per mole of atoms
1.0
-1.853 -2.060 -0.972
2.342 -3.446 1.494
-3.082 -0.556 4.256
F Ge
2 2
Direct
0.206 0.038 0.241
0.794 0.962 0.759
0.141 0.453 0.236
0.859 0.547 0.764